The following is a GGA-PBE calculation of a relaxed structure of LaTh6Se12, from Alexandria via LeMat-Bulk.

Summary:
- ΔE_f (raw): -31.659 eV per formula unit
- Raw total energy: -6.469 eV per atom
- Magnetic moment: 0.00 Bohr magnetons per cell
- Density: 7.11 g cm⁻³
- V: 578.6 Å³/cell

Cell lengths 8.5193, 8.5193, 8.5193 Å; angles 101.05, 101.05, 101.05 degrees
Positions (direct):
Th 0.1417 0.6285 0.3122
Th 0.6878 0.8583 0.3715
Th 0.3122 0.1417 0.6285
Th 0.8583 0.3715 0.6878
Th 0.6285 0.3122 0.1417
Th 0.3715 0.6878 0.8583
Se 0.9392 0.0555 0.6667
Se 0.4186 0.5585 0.1710
Se 0.5585 0.1710 0.4186
Se 0.6667 0.9392 0.0555
Se 0.0608 0.9445 0.3333
Se 0.0555 0.6667 0.9392
Se 0.9445 0.3333 0.0608
Se 0.8290 0.5814 0.4415
Se 0.3333 0.0608 0.9445
Se 0.1710 0.4186 0.5585
Se 0.5814 0.4415 0.8290
Se 0.4415 0.8290 0.5814
La 0.0000 0.0000 0.0000